Record 1
The following is a DFT calculation (SCAN) of a crystal of YAgRu3 relaxed with PBEsol.

a b c (Å): 4.7253 4.7253 4.7253
angles (deg): 90.00 90.00 90.00
Element x y z (fractional)
Ag  0.0000  0.0000  0.0000
Ru  0.5000  0.0000  0.0000
Ru  0.0000  0.0000  0.5000
Ru  0.0000  0.5000  0.0000
Y  0.5000  0.5000  0.5000

Computed properties:
**E_form**: 1557 meV per atom
**Space-group type**: Pm-3m (221)
**Crystal system**: cubic
**Density**: 7.87 Mg/m³
**M_tot**: 5.3 μB per formula unit

Record 2
The following is a DFT calculation (SCAN) of a crystal of YAgRu2 relaxed with PBEsol.

a b c (Å): 3.3864 3.3864 5.9719
angles (deg): 90.00 90.00 90.00
Element x y z (fractional)
Y  0.5000  0.5000  0.0000
Ag  0.5000  0.5000  0.5000
Ru  0.0000  0.0000  0.7203
Ru  0.0000  0.0000  0.2797

Computed properties:
**E_form**: 348 meV per atom
**Excess energy over the best structure of this formula in the dataset**: 250 meV per atom
**Space-group type**: P4/mmm (123)
**Crystal system**: tetragonal
**Density**: 9.67 Mg/m³
**M_tot**: 2.0 μB per formula unit

Record 3
The following is a DFT calculation (SCAN) of a crystal of YAg2Ru relaxed with PBEsol.

a b c (Å): 2.8829 2.8829 9.9451
angles (deg): 81.67 81.67 60.00
Element x y z (fractional)
Ru  0.5000  0.5000  0.5000
Y  0.0000  0.0000  0.0000
Ag  0.2434  0.2434  0.2697
Ag  0.7566  0.7566  0.7303

Computed properties:
**E_form**: 553 meV per atom
**Excess energy over the best structure of this formula in the dataset**: 557 meV per atom
**Space-group type**: R-3m (166)
**Crystal system**: trigonal
**Density**: 9.55 Mg/m³
**M_tot**: 1.4 μB per formula unit

Record 4
The following is a DFT calculation (SCAN) of a crystal of YAg2Ru relaxed with PBEsol.

a b c (Å): 3.4462 3.4462 6.0984
angles (deg): 90.00 90.00 90.00
Element x y z (fractional)
Ru  0.0000  0.0000  0.4923
Y  0.5000  0.5000  0.7294
Ag  0.5000  0.5000  0.2494
Ag  0.0000  0.0000  0.0289

Computed properties:
**E_form**: -3 meV per atom
**Excess energy over the best structure of this formula in the dataset**: 0 meV per atom
**Space-group type**: P4mm (99)
**Crystal system**: tetragonal
**Density**: 9.30 Mg/m³
**M_tot**: 0.0 μB per formula unit

Record 5
The following is a DFT calculation (SCAN) of a crystal of YAg2Ru relaxed with PBEsol.

a b c (Å): 2.9537 4.8165 5.2004
angles (deg): 90.00 103.26 90.00
Element x y z (fractional)
Ag  0.3256  0.0000  0.2293
Ag  0.6744  0.0000  0.7707
Y  0.0000  0.5000  0.5000
Ru  0.5000  0.5000  0.0000

Computed properties:
**E_form**: 131 meV per atom
**Excess energy over the best structure of this formula in the dataset**: 134 meV per atom
**Space-group type**: P2/m (10)
**Crystal system**: monoclinic
**Density**: 9.36 Mg/m³
**M_tot**: 0.0 μB per formula unit

Record 6
The following is a DFT calculation (SCAN) of a crystal of YAg2Ru relaxed with PBEsol.

a b c (Å): 3.6059 3.6059 5.6052
angles (deg): 90.00 90.00 90.00
Element x y z (fractional)
Y  0.5000  0.5000  0.5000
Ag  0.0000  0.0000  0.7672
Ru  0.5000  0.5000  0.0000
Ag  0.0000  0.0000  0.2328

Computed properties:
**E_form**: 150 meV per atom
**Excess energy over the best structure of this formula in the dataset**: 153 meV per atom
**Space-group type**: P4/mmm (123)
**Crystal system**: tetragonal
**Density**: 9.24 Mg/m³
**M_tot**: 0.0 μB per formula unit

Record 7
The following is a DFT calculation (SCAN) of a crystal of Zn2AgRu relaxed with PBEsol.

a b c (Å): 3.0677 3.0677 5.9589
angles (deg): 90.00 90.00 90.00
Element x y z (fractional)
Zn  0.0000  0.0000  0.2690
Zn  0.0000  0.0000  0.7310
Ru  0.5000  0.5000  0.5000
Ag  0.5000  0.5000  0.0000

Computed properties:
**E_form**: 9 meV per atom
**Space-group type**: P4/mmm (123)
**Crystal system**: tetragonal
**Density**: 10.06 Mg/m³
**M_tot**: 0.0 μB per formula unit

Record 8
The following is a DFT calculation (SCAN) of a crystal of Zn3AgRu relaxed with PBEsol.

a b c (Å): 4.5769 4.5769 4.5769
angles (deg): 90.00 90.00 90.00
Element x y z (fractional)
Ag  0.0000  0.0000  0.0000
Zn  0.0000  0.0000  0.5000
Zn  0.0000  0.5000  0.0000
Zn  0.5000  0.0000  0.0000
Ru  0.5000  0.5000  0.5000

Computed properties:
**E_form**: 1120 meV per atom
**Space-group type**: Pm-3m (221)
**Crystal system**: cubic
**Density**: 7.02 Mg/m³
**M_tot**: 2.2 μB per formula unit

Record 9
The following is a DFT calculation (SCAN) of a crystal of Zr2AgRu relaxed with PBEsol.

a b c (Å): 4.6102 4.6102 4.6102
angles (deg): 60.00 60.00 60.00
Element x y z (fractional)
Zr  0.0000  0.0000  0.0000
Zr  0.2500  0.2500  0.2500
Ag  0.5000  0.5000  0.5000
Ru  0.7500  0.7500  0.7500

Computed properties:
**E_form**: -63 meV per atom
**Space-group type**: F-43m (216)
**Crystal system**: cubic
**Density**: 9.38 Mg/m³
**M_tot**: 0.0 μB per formula unit

Record 10
The following is a DFT calculation (SCAN) of a crystal of Zr2AgRu relaxed with PBEsol.

a b c (Å): 3.1957 3.1957 7.1082
angles (deg): 90.00 90.00 90.00
Element x y z (fractional)
Zr  0.0000  0.0000  0.2714
Ag  0.5000  0.5000  0.0000
Ru  0.5000  0.5000  0.5000
Zr  0.0000  0.0000  0.7286

Computed properties:
**E_form**: -400 meV per atom
**Space-group type**: P4/mmm (123)
**Crystal system**: tetragonal
**Density**: 8.95 Mg/m³
**M_tot**: 0.0 μB per formula unit

Record 11
The following is a DFT calculation (SCAN) of a crystal of ZrAgRu3 relaxed with PBEsol.

a b c (Å): 4.6749 4.6749 4.6749
angles (deg): 90.00 90.00 90.00
Element x y z (fractional)
Ag  0.5000  0.5000  0.5000
Ru  0.0000  0.0000  0.5000
Zr  0.0000  0.0000  0.0000
Ru  0.5000  0.0000  0.0000
Ru  0.0000  0.5000  0.0000

Computed properties:
**E_form**: 1663 meV per atom
**Space-group type**: Pm-3m (221)
**Crystal system**: cubic
**Density**: 8.16 Mg/m³
**M_tot**: 3.9 μB per formula unit

Record 12
The following is a DFT calculation (SCAN) of a crystal of ZrAg2Ru relaxed with PBEsol.

a b c (Å): 2.8041 2.8041 8.5021
angles (deg): 90.00 90.00 90.00
Element x y z (fractional)
Ru  0.5000  0.5000  0.0000
Zr  0.5000  0.5000  0.5000
Ag  0.0000  0.0000  0.7655
Ag  0.0000  0.0000  0.2345

Computed properties:
**E_form**: 348 meV per atom
**Excess energy over the best structure of this formula in the dataset**: 487 meV per atom
**Space-group type**: P4/mmm (123)
**Crystal system**: tetragonal
**Density**: 10.14 Mg/m³
**M_tot**: 1.8 μB per formula unit

Question: Which value of density does entry 7 give?
Answer: 10.06 Mg/m³

Repeat the first record exactly.
The following is a DFT calculation (SCAN) of a crystal of YAgRu3 relaxed with PBEsol.

a b c (Å): 4.7253 4.7253 4.7253
angles (deg): 90.00 90.00 90.00
Element x y z (fractional)
Ag  0.0000  0.0000  0.0000
Ru  0.5000  0.0000  0.0000
Ru  0.0000  0.0000  0.5000
Ru  0.0000  0.5000  0.0000
Y  0.5000  0.5000  0.5000

Computed properties:
**E_form**: 1557 meV per atom
**Space-group type**: Pm-3m (221)
**Crystal system**: cubic
**Density**: 7.87 Mg/m³
**M_tot**: 5.3 μB per formula unit